No. 1
## BaOs2Br (PBEsol)

Data for a geometry-optimized BaOs2Br structure.

## Properties
* space-group type: I4/mmm, No. 139
* formation energy from raw total energies: 1.150 eV/atom
* crystal system: tetragonal
* magnetization: 0.00 μB per cell

a = 3.9218 Å, b = 3.9218 Å, c = 6.6324 Å
α = 107.20°, β = 107.20°, γ = 90.00°
Closest atoms and distances in Å follow each position.
Atoms (fractional coordinates):
1 Os 0.7500 0.2500 0.5000  4 Os 2.77
2 Os 0.2500 0.7500 0.5000  4 Os 2.77
3 Ba 0.5000 0.5000 0.0000  4 Br 2.77
4 Br 0.0000 0.0000 0.0000  4 Ba 2.77

---

No. 2
## BaOsBr (PBEsol)

Data for a geometry-optimized BaOsBr structure.

## Properties
* space-group type: P-6m2, No. 187
* formation energy from raw total energies: 0.414 eV/atom
* crystal system: hexagonal
* magnetization: 0.00 μB per cell

a = 4.3238 Å, b = 4.3238 Å, c = 4.6460 Å
α = 90.00°, β = 90.00°, γ = 120.00°
Closest atoms and distances in Å follow each position.
Atoms (fractional coordinates):
1 Os 0.6667 0.3333 0.5003  3 Br 2.50
2 Ba 0.0000 0.0000 0.0000  6 Os 3.41, 6 Br 3.41
3 Br 0.3333 0.6667 0.4998  3 Os 2.50

---

No. 3
## BaOsBr4 (PBEsol)

Data for a geometry-optimized BaOsBr4 structure.

## Properties
* space-group type: F-43m, No. 216
* formation energy from raw total energies: 0.647 eV/atom
* crystal system: cubic
* magnetization: 5.52 μB per cell

a = 6.2474 Å, b = 6.2474 Å, c = 6.2474 Å
α = 60.00°, β = 60.00°, γ = 60.00°
Closest atoms and distances in Å follow each position.
Atoms (fractional coordinates):
1 Ba 0.0000 0.0000 0.0000  12 Br 3.66, 4 Os 3.83
2 Br 0.3758 0.3758 0.3758  6 Br 3.10-3.14
3 Br 0.3758 0.3758 0.8727  6 Br 3.10-3.14
4 Br 0.8727 0.3758 0.3758  6 Br 3.10-3.14
5 Br 0.3758 0.8727 0.3758  6 Br 3.10-3.14
6 Os 0.7500 0.7500 0.7500  12 Br 3.66, 4 Ba 3.83

---

No. 4
## BaOs3Br (PBEsol)

Data for a geometry-optimized BaOs3Br structure.

## Properties
* space-group type: Pm-3m, No. 221
* formation energy from raw total energies: 3.926 eV/atom
* crystal system: cubic
* magnetization: 6.86 μB per cell

a = 5.1451 Å, b = 5.1451 Å, c = 5.1451 Å
α = 90.00°, β = 90.00°, γ = 90.00°
Closest atoms and distances in Å follow each position.
Atoms (fractional coordinates):
1 Os 0.0000 0.5000 0.0000  2 Ba 2.57
2 Os 0.0000 0.0000 0.5000  2 Ba 2.57
3 Os 0.5000 0.0000 0.0000  2 Ba 2.57
4 Ba 0.0000 0.0000 0.0000  6 Os 2.57
5 Br 0.5000 0.5000 0.5000  12 Os 3.64

---

No. 5
## BaOsBr (PBEsol)

Data for a geometry-optimized BaOsBr structure.

## Properties
* space-group type: I4mm, No. 107
* formation energy from raw total energies: 0.793 eV/atom
* crystal system: tetragonal
* magnetization: 0.07 μB per cell

a = 3.3444 Å, b = 3.3444 Å, c = 6.6980 Å
α = 104.46°, β = 104.46°, γ = 90.00°
Closest atoms and distances in Å follow each position.
Atoms (fractional coordinates):
1 Os 0.3113 0.3113 0.6227  4 Br 2.77
2 Ba 0.9927 0.9927 0.9854  4 Os 3.28, 4 Ba 3.34, 4 Br 3.48
3 Br 0.6960 0.6960 0.3919  4 Os 2.77

---

No. 6
## BaOsSe2Br (PBEsol)

Data for a geometry-optimized BaOsSe2Br structure.

## Properties
* space-group type: P4/mmm, No. 123
* formation energy from raw total energies: 1.425 eV/atom
* crystal system: tetragonal
* magnetization: 7.01 μB per cell

a = 5.9643 Å, b = 6.0021 Å, c = 6.0021 Å
α = 90.00°, β = 90.00°, γ = 90.00°
Closest atoms and distances in Å follow each position.
Atoms (fractional coordinates):
1 Se 0.0000 0.0000 0.5000  2 Ba 3.00
2 Se 0.0000 0.5000 0.0000  2 Ba 3.00
3 Os 0.5000 0.5000 0.5000  8 Se 4.23, 4 Br 4.24
4 Ba 0.0000 0.0000 0.0000  2 Br 2.98, 4 Se 3.00
5 Br 0.5000 0.0000 0.0000  2 Ba 2.98

---

No. 7
## Ba2ZnOsBr (PBEsol)

Data for a geometry-optimized Ba2ZnOsBr structure.

## Properties
* space-group type: P4/mmm, No. 123
* formation energy from raw total energies: 0.924 eV/atom
* crystal system: tetragonal
* magnetization: 1.50 μB per cell

a = 4.8575 Å, b = 5.9647 Å, c = 5.9647 Å
α = 90.00°, β = 90.00°, γ = 90.00°
Closest atoms and distances in Å follow each position.
Atoms (fractional coordinates):
1 Zn 0.0000 0.0000 0.0000  2 Br 2.43
2 Os 0.5000 0.5000 0.5000  8 Ba 3.85, 4 Br 4.22
3 Ba 0.0000 0.0000 0.5000  2 Zn 2.98
4 Ba 0.0000 0.5000 0.0000  2 Zn 2.98
5 Br 0.5000 0.0000 0.0000  2 Zn 2.43

---

No. 8
## BaPBr3 (PBEsol)

Data for a geometry-optimized BaPBr3 structure.

## Properties
* space-group type: Pm-3m, No. 221
* formation energy from raw total energies: -0.282 eV/atom
* crystal system: cubic
* magnetization: 1.92 μB per cell

a = 6.2261 Å, b = 6.2261 Å, c = 6.2261 Å
α = 90.00°, β = 90.00°, γ = 90.00°
Closest atoms and distances in Å follow each position.
Atoms (fractional coordinates):
1 P 0.5000 0.5000 0.5000  12 Br 4.40
2 Ba 0.0000 0.0000 0.0000  6 Br 3.11
3 Br 0.0000 0.5000 0.0000  2 Ba 3.11
4 Br 0.0000 0.0000 0.5000  2 Ba 3.11
5 Br 0.5000 0.0000 0.0000  2 Ba 3.11

---

No. 9
## Ba2PBr (PBEsol)

Data for a geometry-optimized Ba2PBr structure.

## Properties
* space-group type: C2/m, No. 12
* formation energy from raw total energies: -1.308 eV/atom
* crystal system: monoclinic
* magnetization: 0.00 μB per cell

a = 3.9181 Å, b = 5.5458 Å, c = 5.5458 Å
α = 89.97°, β = 90.10°, γ = 90.10°
Closest atoms and distances in Å follow each position.
Atoms (fractional coordinates):
1 Ba 0.0000 0.0000 0.5000  4 P 3.39-3.40, 4 Br 3.39-3.40
2 Ba 0.0000 0.5000 0.0000  4 Br 3.39-3.40, 4 P 3.39-3.40
3 Br 0.5000 0.0000 0.0000  8 Ba 3.39-3.40
4 P 0.5000 0.5000 0.5000  8 Ba 3.39-3.40

---

No. 10
## Ba8P5Br (PBEsol)

Data for a geometry-optimized Ba8P5Br structure.

## Properties
* space-group type: I-4, No. 82
* formation energy from raw total energies: -1.169 eV/atom
* crystal system: tetragonal
* magnetization: 0.00 μB per cell

a = 8.4313 Å, b = 8.4313 Å, c = 8.4313 Å
α = 109.32°, β = 109.32°, γ = 109.78°
Closest atoms and distances in Å follow each position.
Atoms (fractional coordinates):
1 Ba 0.2570 0.5025 0.6259  3 P 3.13-3.22
2 Ba 0.0198 0.1120 0.7527  5 P 3.17-3.52, 1 Br 3.36
3 Ba 0.3593 0.2671 0.2473  5 P 3.17-3.52, 1 Br 3.36
4 Ba 0.8766 0.6311 0.3741  3 P 3.13-3.22
5 Ba 0.3689 0.7430 0.2455  3 P 3.13-3.22
6 Ba 0.4975 0.1234 0.7545  3 P 3.13-3.22
7 Ba 0.7329 0.9802 0.0922  5 P 3.17-3.52, 1 Br 3.36
8 Ba 0.8880 0.6407 0.9078  5 P 3.17-3.52, 1 Br 3.36
9 P 0.2548 0.8798 0.8861  6 Ba 3.13-3.47
10 P 0.6313 0.7452 0.6251  6 Ba 3.13-3.47
11 P 0.9937 0.3687 0.1139  6 Ba 3.13-3.47
12 P 0.5000 0.5000 0.0000  8 Ba 3.15-3.52
13 P 0.1202 0.0063 0.3749  6 Ba 3.13-3.47
14 Br 0.7500 0.2500 0.5000  8 Ba 3.36-3.64

---

No. 11
## Ba2P2Br (PBEsol)

Data for a geometry-optimized Ba2P2Br structure.

## Properties
* space-group type: I4/mmm, No. 139
* formation energy from raw total energies: -1.078 eV/atom
* crystal system: tetragonal
* magnetization: 0.01 μB per cell

a = 5.8604 Å, b = 6.2055 Å, c = 5.8604 Å
α = 61.82°, β = 90.00°, γ = 118.18°
Closest atoms and distances in Å follow each position.
Atoms (fractional coordinates):
1 P 0.6149 0.2299 0.3851  1 P 2.12
2 P 0.3851 0.7701 0.6149  1 P 2.12
3 Ba 0.7500 0.5000 0.7500  4 P 3.18
4 Ba 0.2500 0.5000 0.2500  4 P 3.18
5 Br 0.0000 0.0000 0.0000  2 P 3.56, 8 Ba 3.73

---

No. 12
## BaPSe2Br (PBEsol)

Data for a geometry-optimized BaPSe2Br structure.

## Properties
* space-group type: P4/mmm, No. 123
* formation energy from raw total energies: -0.872 eV/atom
* crystal system: tetragonal
* magnetization: 0.00 μB per cell

a = 4.9889 Å, b = 4.9889 Å, c = 5.1390 Å
α = 90.00°, β = 90.00°, γ = 90.00°
Closest atoms and distances in Å follow each position.
Atoms (fractional coordinates):
1 P 0.0000 0.0000 0.0000  4 Se 2.49, 2 Br 2.57
2 Se 0.0000 0.5000 0.0000  2 P 2.49
3 Se 0.5000 0.0000 0.0000  2 P 2.49
4 Ba 0.5000 0.5000 0.5000  4 Br 3.53, 8 Se 3.58
5 Br 0.0000 0.0000 0.5000  2 P 2.57

---

Number 1: DFT total energy -23.9 eV for the cell shown, ρ 10.7 g cm⁻³. Number 2: DFT total energy -15.0 eV for the cell shown, ρ 9.0 g cm⁻³. Number 3: DFT total energy -18.0 eV for the cell shown, ρ 6.2 g cm⁻³. Number 4: DFT total energy -21.0 eV for the cell shown, ρ 9.6 g cm⁻³. Number 5: DFT total energy -13.9 eV for the cell shown, ρ 9.7 g cm⁻³. Number 6: DFT total energy -16.8 eV for the cell shown, ρ 4.4 g cm⁻³. Number 7: DFT total energy -15.3 eV for the cell shown, ρ 5.9 g cm⁻³. Number 8: DFT total energy -15.0 eV for the cell shown, ρ 2.8 g cm⁻³. Number 9: DFT total energy -17.2 eV for the cell shown, ρ 5.3 g cm⁻³. Number 10: DFT total energy -64.4 eV for the cell shown, ρ 4.8 g cm⁻³. Number 11: DFT total energy -23.1 eV for the cell shown, ρ 4.4 g cm⁻³. Number 12: DFT total energy -21.9 eV for the cell shown, ρ 5.3 g cm⁻³.